a | Below is an optimized crystal structure of LiGdTl, with properties calculated at the PBE level.

## Properties
Space-group type: F-43m
V, Å³/cell: 75
Magnetization, μB per cell: 0.00

Structure (POSCAR):
```
LiGdTl
1.0
0.000 3.341 3.341
3.341 0.000 3.341
3.341 3.341 0.000
Li Tl Gd
1 1 1
direct
0.250 0.250 0.250
0.000 0.000 0.000
0.500 0.500 0.500
```


b | Below is an optimized crystal structure of LiGdTl, with properties calculated at the PBE level.

## Properties
Space-group type: P-6m2
V, Å³/cell: 73
Magnetization, μB per cell: 0.03

Structure (POSCAR):
```
LiGdTl
1.0
-2.636 -2.401 -3.378
3.658 -2.290 2.344
-2.236 -1.034 2.480
Li Tl Gd
1 1 1
direct
0.667 0.333 0.833
0.000 0.000 0.834
0.333 0.667 0.333
```


Computed stability ranking, most favorable first: b, a


a | Below is an optimized crystal structure of Ho2Br, with properties calculated at the PBE level.

## Properties
Space-group type: Fd-3m
V, Å³/cell: 198
Magnetization, μB per cell: 0.00

Structure (POSCAR):
```
Ho2Br
1.0
4.391 -3.510 3.350
-1.650 -2.696 5.730
-0.683 -6.490 0.487
Ho Br
4 2
direct
0.125 0.625 0.625
0.625 0.625 0.625
0.625 0.125 0.625
0.625 0.625 0.125
0.250 0.250 0.250
0.000 0.000 0.000
```


b | Below is an optimized crystal structure of Ho2Br, with properties calculated at the PBE level.

## Properties
Space-group type: Fd-3m
V, Å³/cell: 499
Magnetization, μB per cell: 2.13

Structure (POSCAR):
```
Ho2Br
1.0
4.450 2.569 7.267
-4.450 2.569 7.267
0.000 -5.139 7.267
Ho Br
4 2
direct
0.375 0.375 0.375
0.375 0.375 0.875
0.875 0.375 0.375
0.375 0.875 0.375
0.250 0.250 0.250
0.500 0.500 0.500
```


Computed stability ranking, most favorable first: a, b


a | Below is an optimized crystal structure of Mg2Mo, with properties calculated at the PBE level.

## Properties
Space-group type: Cmcm
V, Å³/cell: 223
Magnetization, μB per cell: 0.05

Structure (POSCAR):
```
Mg2Mo
1.0
-3.544 1.177 -3.443
-2.915 -9.286 -0.173
-2.938 0.860 3.318
Mg Mo
8 4
direct
0.339 0.338 0.500
0.494 0.162 0.000
0.339 0.662 0.500
0.994 0.338 0.000
0.494 0.838 0.000
0.839 0.838 0.500
0.994 0.662 0.000
0.839 0.162 0.500
0.530 0.500 0.000
0.804 0.500 0.500
0.303 0.000 0.500
0.030 0.000 0.000
```


b | Below is an optimized crystal structure of Mg2Mo, with properties calculated at the PBE level.

## Properties
Space-group type: P6_3/mmc
V, Å³/cell: 218
Magnetization, μB per cell: 0.00

Structure (POSCAR):
```
Mg2Mo
1.0
-3.573 -3.423 -2.542
4.598 -2.041 2.373
-4.040 -0.973 6.990
Mg Mo
8 4
direct
0.176 0.824 0.250
0.647 0.824 0.250
0.353 0.176 0.750
0.000 0.000 0.500
0.176 0.353 0.250
0.000 0.000 0.000
0.824 0.647 0.750
0.824 0.176 0.750
0.667 0.333 0.405
0.333 0.667 0.905
0.667 0.333 0.095
0.333 0.667 0.595
```


Computed stability ranking, most favorable first: a, b